{
  "formula": "Na5SrTl2",
  "functional": "PBE-GGA",
  "state": "relaxed",
  "dft_energy_ev_per_atom": -1.7205,
  "formation_enthalpy_0k_ev_per_atom": -0.0943,
  "rho_g_cm3": 3.735,
  "cell": [[-2.024, 5.336, 6.290], [2.024, -5.336, 6.290], [2.024, 5.336, -6.290]],
  "species": ["Na", "Na", "Na", "Na", "Na", "Sr", "Tl", "Tl"],
  "frac_coords": [[0.000, 0.000, 0.000], [0.059, 0.354, 0.705], [0.352, 0.646, 0.705], [0.648, 0.354, 0.295], [0.941, 0.646, 0.295], [0.500, 0.000, 0.500], [0.271, 0.271, 0.000], [0.729, 0.729, 0.000]]
}